No. 1
Density functional theory data (PBE-GGA) for an optimized crystal structure of Ce2TcSb.

Cell lengths 4.501, 4.501, 4.418 Å; angles 90.00, 90.00, 90.00 degrees
Fractional coordinates of all 4 atoms:
Ce 0.000 0.500 0.000
Ce 0.500 0.000 0.000
Tc 0.000 0.000 0.500
Sb 0.500 0.500 0.500

D(E_F)   5.5 states/eV/cell
ΔE_f (raw)   -1.5 eV per formula unit
ρ   9.28 g/cm³
Excess energy over the best structure of this formula in the dataset   0.0046 eV per atom
Space-group type   No. 123

No. 2
Density functional theory data (PBE-GGA) for an optimized crystal structure of Dy5TlPd2.

Cell lengths 8.720, 8.720, 8.720 Å; angles 126.26, 126.26, 79.47 degrees
Fractional coordinates of all 16 atoms:
Dy 0.000 0.000 0.000
Dy 0.017 0.517 0.815
Dy 0.202 0.017 0.500
Dy 0.298 0.798 0.815
Dy 0.483 0.298 0.500
Dy 0.500 0.500 0.000
Dy 0.517 0.702 0.500
Dy 0.702 0.202 0.185
Dy 0.798 0.983 0.500
Dy 0.983 0.483 0.185
Tl 0.250 0.250 0.000
Tl 0.750 0.750 0.000
Pd 0.134 0.366 0.500
Pd 0.366 0.866 0.232
Pd 0.634 0.134 0.768
Pd 0.866 0.634 0.500

D(E_F)   19.8 states/eV/cell
ρ   9.80 g/cm³
ΔE_f   -0.565 eV per atom
Space-group type   No. 140